No. 1
Entry from Alexandria via LeMat-Bulk: an optimized crystal structure of Li2LaMo (PBE-GGA).

The structure in POSCAR format:
```
Li2LaMo
1.0
3.751 0.000 0.000
0.000 3.751 0.000
0.000 0.000 5.547
Li La Mo
2 1 1
Cartesian
0.000 0.000 1.130
0.000 0.000 4.417
1.875 1.875 2.774
1.875 1.875 0.000
```

Results
ΔE_f = 0.634 eV per atom
SG = P4/mmm (123)
electronic total energy = -4.26 eV per atom
crystal system = tetragonal
distance to the lowest polymorph of the same formula = 222 meV per atom



No. 2
Entry from Alexandria via LeMat-Bulk: an optimized crystal structure of CsTlSnPSe (PBE-GGA).

The structure in POSCAR format:
```
CsTlSnPSe
1.0
4.105 0.000 0.000
2.011 6.848 0.000
2.018 2.523 6.392
Cs Tl Sn P Se
1 1 1 1 1
Cartesian
0.000 0.000 0.000
6.107 5.868 4.017
2.028 3.024 2.413
4.079 1.763 3.339
4.060 5.675 6.114
```

Results
SG = P1 (1)
electronic total energy = -3.57 eV per atom
crystal system = triclinic
raw formation energy = -0.347 eV/atom
distance to the lowest polymorph of the same formula = 19 meV per atom



No. 3
Entry from Alexandria via LeMat-Bulk: an optimized crystal structure of Ti3Se4S2 (PBE-GGA).

The structure in POSCAR format:
```
Ti3Se4S2
1.0
3.442 0.000 0.000
-1.721 2.981 0.000
0.000 0.000 21.300
Ti Se S
3 4 2
Cartesian
0.000 0.000 0.000
0.000 1.987 6.807
0.000 1.987 14.493
0.000 0.000 5.176
0.000 0.000 8.443
0.000 0.000 12.858
0.000 0.000 16.125
0.000 1.987 1.485
0.000 1.987 19.816
```

Results
SG = P-6m2 (187)
electronic total energy = -6.13 eV per atom
crystal system = hexagonal
raw formation energy = -1.034 eV/atom



No. 4
Entry from Alexandria via LeMat-Bulk: an optimized crystal structure of AcPrSb2 (PBE-GGA).

The structure in POSCAR format:
```
AcPrSb2
1.0
2.310 1.334 8.001
-2.310 1.334 8.001
0.000 -2.668 8.001
Ac Pr Sb
1 1 2
Cartesian
0.000 0.000 0.000
0.000 0.000 4.099
0.000 0.000 10.129
0.000 0.000 13.987
```

Results
SG = R3m (160)
electronic total energy = -5.36 eV per atom
crystal system = trigonal
raw formation energy = -1.073 eV/atom
distance to the lowest polymorph of the same formula = 122 meV per atom



No. 5
Entry from Alexandria via LeMat-Bulk: an optimized crystal structure of CuSi2W2 (PBE-GGA).

The structure in POSCAR format:
```
CuSi2W2
1.0
6.394 0.000 0.000
0.000 6.394 0.000
0.000 0.000 3.426
Cu Si W
2 4 4
Cartesian
0.000 0.000 0.000
3.197 3.197 0.000
0.855 2.342 0.000
2.342 5.539 0.000
4.052 0.855 0.000
5.539 4.052 0.000
1.067 4.264 1.713
2.130 1.067 1.713
4.264 5.327 1.713
5.327 2.130 1.713
```

Results
SG = P4/mbm (127)
electronic total energy = -8.12 eV per atom
crystal system = tetragonal
raw formation energy = 0.046 eV/atom
distance to the lowest polymorph of the same formula = 0 meV per atom



No. 6
Entry from Alexandria via LeMat-Bulk: an optimized crystal structure of Li3LaPt (PBE-GGA).

The structure in POSCAR format:
```
Li3LaPt
1.0
4.648 0.000 0.000
0.000 4.648 0.000
0.000 0.000 4.648
Li La Pt
3 1 1
Cartesian
0.000 0.000 2.324
0.000 2.324 0.000
2.324 0.000 0.000
0.000 0.000 0.000
2.324 2.324 2.324
```

Results
ΔE_f = 1.351 eV per atom
SG = Pm-3m (221)
electronic total energy = -1.99 eV per atom
crystal system = cubic
distance to the lowest polymorph of the same formula = 1745 meV per atom



No. 7
Entry from Alexandria via LeMat-Bulk: an optimized crystal structure of Cs3BrF (PBE-GGA).

The structure in POSCAR format:
```
Cs3BrF
1.0
6.176 0.000 0.000
0.000 6.176 0.000
0.000 0.000 6.176
Cs Br F
3 1 1
Cartesian
0.000 0.000 3.088
0.000 3.088 0.000
3.088 0.000 0.000
3.088 3.088 3.088
0.000 0.000 0.000
```

Results
SG = Pm-3m (221)
electronic total energy = -2.79 eV per atom
crystal system = cubic
raw formation energy = -1.568 eV/atom
distance to the lowest polymorph of the same formula = 0 meV per atom



No. 8
Entry from Alexandria via LeMat-Bulk: an optimized crystal structure of TlSeN2 (PBE-GGA).

The structure in POSCAR format:
```
TlSeN2
1.0
1.539 0.889 7.574
-1.539 0.889 7.574
0.000 -1.777 7.574
Tl Se N
1 1 2
Cartesian
0.000 0.000 0.000
0.000 0.000 11.361
0.000 0.000 2.698
0.000 0.000 20.025
```

Results
SG = R-3m (166)
electronic total energy = -4.39 eV per atom
crystal system = trigonal
raw formation energy = 1.235 eV/atom
distance to the lowest polymorph of the same formula = 44 meV per atom



No. 9
Entry from Alexandria via LeMat-Bulk: an optimized crystal structure of LaWAu2 (PBE-GGA).

The structure in POSCAR format:
```
LaWAu2
1.0
4.633 -1.512 0.000
4.633 1.512 0.000
-0.980 0.000 6.270
La W Au
1 1 2
Cartesian
0.000 0.000 0.000
4.143 0.000 3.135
1.556 0.000 4.325
6.731 0.000 1.945
```

Results
ΔE_f = 0.285 eV per atom
SG = C2/m (12)
electronic total energy = -5.82 eV per atom
crystal system = monoclinic
distance to the lowest polymorph of the same formula = 152 meV per atom



No. 10
Entry from Alexandria via LeMat-Bulk: an optimized crystal structure of Cs2K4Hg (PBE-GGA).

The structure in POSCAR format:
```
Cs2K4Hg
1.0
-8.112 8.112 3.882
8.112 -8.112 3.882
8.112 8.112 -3.882
Cs K Hg
4 8 2
Cartesian
10.017 1.905 0.000
1.905 6.207 0.000
6.207 1.905 3.882
-1.905 6.207 3.882
2.838 1.398 0.000
6.714 -5.274 3.882
6.714 5.274 0.000
2.838 -1.398 3.882
5.274 9.510 0.000
1.398 2.838 3.882
1.398 13.386 0.000
5.274 6.714 3.882
0.000 0.000 1.941
0.000 0.000 5.823
```

Results
ΔE_f = -0.065 eV per atom
SG = I4/mcm (140)
electronic total energy = -0.98 eV per atom
crystal system = tetragonal
distance to the lowest polymorph of the same formula = 0 meV per atom



No. 11
Entry from Alexandria via LeMat-Bulk: an optimized crystal structure of KZrCr2 (PBE-GGA).

The structure in POSCAR format:
```
KZrCr2
1.0
4.914 -1.477 0.000
4.914 1.477 0.000
-0.219 0.000 7.358
K Zr Cr
1 1 2
Cartesian
0.000 0.000 0.000
4.804 0.000 3.679
2.269 0.000 4.451
7.339 0.000 2.907
```

Results
ΔE_f = 0.880 eV per atom
SG = C2/m (12)
electronic total energy = -6.34 eV per atom
crystal system = monoclinic
distance to the lowest polymorph of the same formula = 284 meV per atom



No. 12
Entry from Alexandria via LeMat-Bulk: an optimized crystal structure of KSc2Ir (PBE-GGA).

The structure in POSCAR format:
```
KSc2Ir
1.0
3.202 -4.575 0.000
3.202 4.575 0.000
-1.183 0.000 2.917
K Sc Ir
1 2 1
Cartesian
0.000 0.000 0.000
1.009 2.287 1.459
1.009 -2.287 1.459
3.202 0.000 0.000
```

Results
ΔE_f = 0.449 eV per atom
SG = C2/m (12)
electronic total energy = -5.21 eV per atom
crystal system = monoclinic
distance to the lowest polymorph of the same formula = 719 meV per atom



No. 13
Entry from Alexandria via LeMat-Bulk: an optimized crystal structure of CoHgP2S (PBE-GGA).

The structure in POSCAR format:
```
CoHgP2S
1.0
4.953 0.000 0.000
0.000 4.953 0.000
0.000 0.000 5.030
Co Hg P S
1 1 2 1
Cartesian
0.000 0.000 0.000
2.477 2.477 2.515
0.000 2.477 2.515
2.477 0.000 2.515
2.477 2.477 0.000
```

Results
SG = P4/mmm (123)
electronic total energy = -2.76 eV per atom
crystal system = tetragonal
raw formation energy = 1.711 eV/atom
distance to the lowest polymorph of the same formula = 1256 meV per atom



No. 14
Entry from Alexandria via LeMat-Bulk: an optimized crystal structure of RbTlN (PBE-GGA).

The structure in POSCAR format:
```
RbTlN
1.0
3.761 0.000 0.000
0.001 4.381 0.000
1.877 1.662 10.686
Rb Tl N
2 2 2
Cartesian
0.941 1.116 3.389
4.699 4.926 7.297
2.818 2.755 9.896
2.822 3.288 0.790
2.820 2.562 5.714
2.819 3.481 4.973
```

Results
SG = P-1 (2)
electronic total energy = -3.95 eV per atom
crystal system = triclinic
raw formation energy = -0.067 eV/atom
distance to the lowest polymorph of the same formula = 0 meV per atom



No. 15
Entry from Alexandria via LeMat-Bulk: an optimized crystal structure of Sr2Y2Tl (PBE-GGA).

The structure in POSCAR format:
```
Sr2Y2Tl
1.0
-2.212 2.212 10.355
2.212 -2.212 10.355
2.212 2.212 -10.355
Sr Y Tl
2 2 1
Cartesian
0.000 0.000 1.907
0.000 0.000 18.802
2.212 0.000 5.177
0.000 2.212 5.177
0.000 0.000 10.355
```

Results
ΔE_f = 0.178 eV per atom
SG = I4/mmm (139)
electronic total energy = -3.55 eV per atom
crystal system = tetragonal
distance to the lowest polymorph of the same formula = 93 meV per atom



No. 16
Entry from Alexandria via LeMat-Bulk: an optimized crystal structure of LiSb2Pb2 (PBE-GGA).

The structure in POSCAR format:
```
LiSb2Pb2
1.0
-2.320 2.320 7.574
2.320 -2.320 7.574
2.320 2.320 -7.574
Li Sb Pb
1 2 2
Cartesian
0.000 0.000 0.000
0.000 0.000 6.162
0.000 0.000 8.987
2.320 0.000 3.787
0.000 2.320 3.787
```

Results
SG = I4/mmm (139)
electronic total energy = -3.46 eV per atom
crystal system = tetragonal
raw formation energy = 0.057 eV/atom
distance to the lowest polymorph of the same formula = 177 meV per atom



No. 17
Entry from Alexandria via LeMat-Bulk: an optimized crystal structure of SmW2N6 (PBE-GGA).

The structure in POSCAR format:
```
SmW2N6
1.0
5.618 -1.995 0.000
5.618 1.995 0.000
-3.052 0.000 5.747
Sm W N
1 2 6
Cartesian
0.000 0.000 0.000
0.532 0.000 3.782
7.652 0.000 1.965
-1.481 0.000 3.521
1.935 0.000 2.281
1.163 0.000 5.452
7.021 0.000 0.296
6.248 0.000 3.466
9.665 0.000 2.226
```

Results
SG = C2/m (12)
electronic total energy = -9.29 eV per atom
crystal system = monoclinic
raw formation energy = -0.340 eV/atom



No. 18
Entry from Alexandria via LeMat-Bulk: an optimized crystal structure of Na2SmZnF8 (PBE-GGA).

The structure in POSCAR format:
```
Na2SmZnF8
1.0
4.000 0.000 0.000
0.000 7.306 0.000
-0.464 0.000 5.508
Na Sm Zn F
2 1 1 8
Cartesian
0.000 1.722 0.000
0.000 5.584 0.000
1.768 3.653 2.754
1.768 0.000 2.754
-0.116 3.653 1.438
0.250 0.000 1.558
1.425 1.694 3.998
1.425 5.612 3.998
2.111 1.694 1.509
2.111 5.612 1.509
3.286 0.000 3.950
3.652 3.653 4.069
```

Results
SG = P2/m (10)
electronic total energy = -4.79 eV per atom
crystal system = monoclinic
raw formation energy = -2.820 eV/atom



No. 19
Entry from Alexandria via LeMat-Bulk: an optimized crystal structure of Ba2ZnH2 (PBE-GGA).

The structure in POSCAR format:
```
Ba2ZnH2
1.0
7.964 0.000 0.000
0.000 7.964 0.000
0.000 0.000 3.655
Ba Zn H
4 2 4
Cartesian
1.437 2.545 0.000
2.545 6.527 0.000
5.419 1.437 0.000
6.527 5.419 0.000
0.000 0.000 1.827
3.982 3.982 1.827
0.982 4.964 1.827
3.000 0.982 1.827
4.964 6.982 1.827
6.982 3.000 1.827
```

Results
SG = P4/mbm (127)
electronic total energy = -2.52 eV per atom
crystal system = tetragonal
distance to the lowest polymorph of the same formula = 150 meV per atom



No. 20
Entry from Alexandria via LeMat-Bulk: an optimized crystal structure of AgW (PBE-GGA).

The structure in POSCAR format:
```
AgW
1.0
-4.949 4.949 1.576
4.949 -4.949 1.576
4.949 4.949 -1.576
Ag W
4 4
Cartesian
3.244 0.000 0.000
6.654 0.000 0.000
0.000 3.244 0.000
0.000 6.654 0.000
3.151 3.151 0.000
1.799 -1.799 1.576
-1.799 1.799 1.576
1.799 1.799 1.576
```

Results
ΔE_f = 0.916 eV per atom
SG = I4/mmm (139)
electronic total energy = -6.99 eV per atom
crystal system = tetragonal
distance to the lowest polymorph of the same formula = 573 meV per atom



No. 21
Entry from Alexandria via LeMat-Bulk: an optimized crystal structure of Rb2CaPbCl6 (PBE-GGA).

The structure in POSCAR format:
```
Rb2CaPbCl6
1.0
7.614 0.000 0.000
0.000 7.899 0.000
-7.602 0.000 10.920
Rb Ca Pb Cl
4 2 2 12
Cartesian
-0.141 0.486 2.726
-3.942 3.464 8.186
3.954 4.435 2.734
0.153 7.414 8.193
-3.801 0.000 5.460
0.000 3.950 0.000
3.807 0.000 0.000
0.006 3.950 5.460
-6.121 1.674 10.388
-2.320 2.276 4.929
-5.388 5.514 10.406
-1.587 6.334 4.946
-3.098 0.204 8.110
0.703 3.745 2.650
-0.692 4.154 8.269
3.110 7.695 2.809
1.599 1.565 5.973
5.400 2.385 0.514
2.332 5.623 5.991
6.133 6.226 0.531
```

Results
SG = P2_1/c (14)
electronic total energy = -3.75 eV per atom
crystal system = monoclinic
raw formation energy = -1.877 eV/atom
distance to the lowest polymorph of the same formula = 0 meV per atom



No. 22
Entry from Alexandria via LeMat-Bulk: an optimized crystal structure of TlAgSbI2 (PBE-GGA).

The structure in POSCAR format:
```
TlAgSbI2
1.0
5.954 0.000 0.000
0.000 5.954 0.000
0.000 0.000 5.396
Tl Ag Sb I
1 1 1 2
Cartesian
0.000 0.000 0.000
2.977 2.977 2.698
2.977 2.977 0.000
0.000 2.977 2.698
2.977 0.000 2.698
```

Results
SG = P4/mmm (123)
electronic total energy = -2.39 eV per atom
crystal system = tetragonal
raw formation energy = 0.102 eV/atom
distance to the lowest polymorph of the same formula = 0 meV per atom



No. 23
Entry from Alexandria via LeMat-Bulk: an optimized crystal structure of Na2ZrNiAu (PBE-GGA).

The structure in POSCAR format:
```
Na2ZrNiAu
1.0
5.048 0.000 0.000
0.000 5.048 0.000
0.000 0.000 4.946
Na Zr Ni Au
2 1 1 1
Cartesian
0.000 2.524 0.000
2.524 0.000 0.000
0.000 0.000 2.473
2.524 2.524 2.473
2.524 2.524 0.000
```

Results
ΔE_f = 0.891 eV per atom
SG = P4/mmm (123)
electronic total energy = -3.16 eV per atom
crystal system = tetragonal



No. 24
Entry from Alexandria via LeMat-Bulk: an optimized crystal structure of YEr2TlO (PBE-GGA).

The structure in POSCAR format:
```
YEr2TlO
1.0
4.725 0.000 0.000
0.000 4.725 0.000
0.000 0.000 4.828
Y Er Tl O
1 2 1 1
Cartesian
0.000 0.000 0.000
0.000 2.362 2.414
2.362 0.000 2.414
2.362 2.362 0.000
0.000 0.000 2.414
```

Results
SG = P4/mmm (123)
electronic total energy = -5.93 eV per atom
crystal system = tetragonal
raw formation energy = -1.344 eV/atom



No. 25
Entry from Alexandria via LeMat-Bulk: an optimized crystal structure of CrSbPd6 (PBE-GGA).

The structure in POSCAR format:
```
CrSbPd6
1.0
3.992 0.000 0.000
0.000 3.992 0.000
0.000 0.000 7.944
Cr Sb Pd
1 1 6
Cartesian
0.000 0.000 0.000
0.000 0.000 3.972
0.000 1.996 1.938
0.000 1.996 6.006
1.996 0.000 1.938
1.996 0.000 6.006
1.996 1.996 0.000
1.996 1.996 3.972
```

Results
SG = P4/mmm (123)
electronic total energy = -5.84 eV per atom
crystal system = tetragonal
raw formation energy = -0.231 eV/atom
distance to the lowest polymorph of the same formula = 0 meV per atom



No. 26
Entry from Alexandria via LeMat-Bulk: an optimized crystal structure of Mn2AlSb (PBE-GGA).

The structure in POSCAR format:
```
Mn2AlSb
1.0
2.933 0.000 0.000
0.000 2.933 0.000
0.000 0.000 7.753
Mn Al Sb
2 1 1
Cartesian
0.000 0.000 0.000
1.466 1.466 1.347
1.466 1.466 6.247
0.000 0.000 3.319
```

Results
SG = P4mm (99)
electronic total energy = -6.41 eV per atom
crystal system = tetragonal
raw formation energy = 0.139 eV/atom
distance to the lowest polymorph of the same formula = 76 meV per atom